1.
OsRh2Se: relaxed, PBE.

Lattice parameters (Å, degrees): 2.799 2.799 7.736 90.00 90.00 90.00
Positions (direct):
Os: 0.500 0.500 0.750
Rh: 0.000 0.000 0.985
Rh: 0.000 0.000 0.515
Se: 0.500 0.500 0.250

***

2.
OsRhSe2: relaxed, PBE.

Lattice parameters (Å, degrees): 5.516 5.516 5.516 148.22 132.02 58.71
Positions (direct):
Os: 0.517 0.517 0.000
Rh: 0.243 0.743 0.500
Se: 0.011 0.011 0.000
Se: 0.728 0.228 0.500

Computed properties:
For the distance to the lowest polymorph of the same formula, the calculation gives 1.415 eV per formula unit.

***

3.
OsRh3Se: relaxed, PBE.

Lattice parameters (Å, degrees): 4.715 4.715 4.715 90.00 90.00 90.00
Positions (direct):
Rh: 0.000 0.500 0.000
Rh: 0.000 0.000 0.500
Rh: 0.500 0.000 0.000
Os: 0.000 0.000 0.000
Se: 0.500 0.500 0.500

Computed properties:
For the distance to the lowest polymorph of the same formula, the calculation gives 0.444 eV per formula unit.

***

4.
OsRhSe2: relaxed, PBE.

Lattice parameters (Å, degrees): 9.454 9.454 9.454 19.35 19.35 19.35
Positions (direct):
Os: 0.501 0.501 0.501
Rh: 0.749 0.749 0.749
Se: 0.027 0.027 0.027
Se: 0.223 0.223 0.223

Computed properties:
For the distance to the lowest polymorph of the same formula, the calculation gives 0.225 eV per formula unit.

***

5.
Os2RhSe4: relaxed, PBE.

Lattice parameters (Å, degrees): 5.019 5.019 6.950 68.83 68.83 90.00
Positions (direct):
Rh: 0.000 0.000 0.000
Os: 0.600 0.600 0.800
Os: 0.400 0.400 0.200
Se: 0.792 0.792 0.417
Se: 0.208 0.208 0.583
Se: 0.000 0.500 0.000
Se: 0.500 0.000 0.000

***

6.
Os3RhSe: relaxed, PBE.

Lattice parameters (Å, degrees): 4.481 4.481 4.481 90.00 90.00 90.00
Positions (direct):
Rh: 0.500 0.500 0.500
Os: 0.000 0.500 0.000
Os: 0.000 0.000 0.500
Os: 0.500 0.000 0.000
Se: 0.000 0.000 0.000

Computed properties:
For the distance to the lowest polymorph of the same formula, the calculation gives 0.000 eV per formula unit.

***

7.
OsRhSe2: relaxed, PBE.

Lattice parameters (Å, degrees): 5.212 5.212 5.212 137.60 137.60 61.51
Positions (direct):
Os: 0.500 0.500 0.000
Rh: 0.750 0.250 0.500
Se: 0.000 0.000 0.000
Se: 0.250 0.750 0.500

Computed properties:
For the distance to the lowest polymorph of the same formula, the calculation gives 2.256 eV per formula unit.

***

8.
OsRh2Se: relaxed, PBE.

Lattice parameters (Å, degrees): 4.616 4.616 4.616 127.91 127.91 76.77
Positions (direct):
Os: 0.750 0.250 0.500
Rh: 0.000 0.000 0.000
Rh: 0.250 0.750 0.500
Se: 0.500 0.500 0.000

***

| no. | theoretical density (kg/m3) | ΔE_f (raw) (eV per atom) |
| --- | --- | --- |
| 1 | 13016 | 0.18 |
| 2 | 11499 | 0.45 |
| 3 | 9153 | 1.34 |
| 4 | 9238 | 0.15 |
| 5 | 8816 | 0.74 |
| 6 | 13887 | 1.91 |
| 7 | 11771 | 0.66 |
| 8 | 13269 | 0.43 |